Entry 1:
First-principles (PBE-GGA) data for a relaxed structure of Tb5Te4S, as listed in the Alexandria database.

Summary:
Crystal system: tetragonal
Raw formation energy: -14.36 eV per formula unit

The structure in CIF format:
```
data_Tb5Te4S
_chemical_formula_sum 'Tb10 Te8 S2'
_cell_length_a 4.2132
_cell_length_b 4.2132
_cell_length_c 31.6370
_cell_angle_alpha 90.00
_cell_angle_beta 90.00
_cell_angle_gamma 90.00
_space_group_name_H-M_alt 'I 4/m m m'
_space_group_IT_number 139
_space_group_name_Hall '-I 4 2'
loop_
_atom_site_label
_atom_site_fract_x
_atom_site_fract_y
_atom_site_fract_z
Tb1 0.0000 0.0000 0.0000
Tb2 0.0000 0.0000 0.2128
Tb3 0.0000 0.0000 0.4168
Te1 0.0000 0.0000 0.1015
Te2 0.0000 0.0000 0.3112
S1 0.0000 0.0000 0.5000
```

Entry 2:
First-principles (PBE-GGA) data for a relaxed structure of Pr2Nd5Sb5, as listed in the Alexandria database.

Summary:
Crystal system: monoclinic
Raw formation energy: -10.94 eV per formula unit

The structure in CIF format:
```
data_Pr2Nd5Sb5
_chemical_formula_sum 'Pr4 Nd10 Sb10'
_cell_length_a 14.5665
_cell_length_b 4.4591
_cell_length_c 13.2014
_cell_angle_alpha 90.00
_cell_angle_beta 106.39
_cell_angle_gamma 90.00
_space_group_name_H-M_alt 'C 1 2/m 1'
_space_group_IT_number 12
loop_
_space_group_symop_operation_xyz
'x,y,z'
'-x,-y,-z'
'-x,y,-z'
'x,-y,z'
'x+1/2,y+1/2,z'
'-x+1/2,-y+1/2,-z'
'-x+1/2,y+1/2,-z'
'x+1/2,-y+1/2,z'
loop_
_atom_site_label
_atom_site_fract_x
_atom_site_fract_y
_atom_site_fract_z
Pr1 0.0341 0.0000 0.2815
Nd1 0.0000 0.5000 0.0000
Nd2 0.1592 0.5000 0.5462
Nd3 0.2320 0.5000 0.8482
Sb1 0.0000 0.0000 0.5000
Sb2 0.1227 0.0000 0.9325
Sb3 0.1937 0.5000 0.3008
```

Entry 3:
First-principles (PBE-GGA) data for a relaxed structure of LiNbCdRh, as listed in the Alexandria database.

Summary:
Crystal system: cubic
Formation energy from the elements: -119 meV/atom

The structure in CIF format:
```
data_LiNbCdRh
_chemical_formula_sum 'Li4 Nb4 Cd4 Rh4'
_cell_length_a 6.3624
_cell_length_b 6.3624
_cell_length_c 6.3624
_cell_angle_alpha 90.00
_cell_angle_beta 90.00
_cell_angle_gamma 90.00
_space_group_name_H-M_alt 'F -4 3 m'
_space_group_IT_number 216
_space_group_name_Hall 'F -4 2 3'
loop_
_atom_site_label
_atom_site_fract_x
_atom_site_fract_y
_atom_site_fract_z
Li1 0.0000 0.0000 0.0000
Nb1 0.2500 0.2500 0.2500
Cd1 0.2500 0.2500 0.7500
Rh1 0.0000 0.0000 0.5000
```